Here is an optimized crystal structure of CuRhO3 from Alexandria via LeMat-Bulk. Energies are from PBE-GGA.

- N(E_F) (states/eV per cell) = 3.61
- ΔE_f (raw) (meV per atom) = -493
- volume (Å³/f.u.) = 59.7

Cell: 4.1234 6.2104 4.6907 Å, 90.00 95.88 90.00°
Closest atoms and distances in Å follow each position.
Positions (direct):
Cu1 0.0000 0.0000 0.0000  4 O 1.87-1.99
Cu2 0.0000 0.5000 0.0000  4 O 1.87-1.99
Rh1 0.4638 0.2500 0.5374  5 O 1.95-2.03
Rh2 0.5362 0.7500 0.4626  5 O 1.95-2.03
O1 0.0836 0.2500 0.7512  1 Rh 1.95, 2 Cu 1.99
O2 0.3834 0.0220 0.2487  1 Cu 1.87, 2 Rh 1.96-2.03
O3 0.3834 0.4780 0.2487  1 Cu 1.87, 2 Rh 1.96-2.03
O4 0.6166 0.5220 0.7513  1 Cu 1.87, 2 Rh 1.96-2.03
O5 0.6166 0.9780 0.7513  1 Cu 1.87, 2 Rh 1.96-2.03
O6 0.9164 0.7500 0.2488  1 Rh 1.95, 2 Cu 1.99